{
  "formula": "BAuSeN2",
  "functional": "GGA-PBE",
  "state": "optimized geometry",
  "de_polymorph_mev_per_atom": 990,
  "energy_ev_per_cell": -18.32,
  "formation_energy_uncorrected_ev_per_atom": 2.3548,
  "lattice_angstrom": [[3.733, 0.000, 0.000], [0.000, 3.733, 0.000], [0.000, 0.000, 8.536]],
  "species": ["B", "Au", "Se", "N", "N"],
  "fractional_positions": [[0.000, 0.000, 0.000], [0.500, 0.500, 0.500], [0.500, 0.500, 0.000], [0.000, 0.500, 0.500], [0.500, 0.000, 0.500]]
}

{
  "formula": "LiCr4",
  "functional": "GGA-PBE",
  "state": "optimized geometry",
  "de_polymorph_mev_per_atom": 1026,
  "ef_kj_per_mol_atoms": 138.5,
  "energy_ev_per_cell": -33.23,
  "lattice_angstrom": [[4.223, 0.000, 0.000], [0.000, 4.223, 0.000], [0.000, 0.000, 4.223]],
  "species": ["Li", "Cr", "Cr", "Cr", "Cr"],
  "fractional_positions": [[0.000, 0.000, 0.000], [0.000, 0.000, 0.500], [0.000, 0.500, 0.000], [0.500, 0.000, 0.000], [0.500, 0.500, 0.500]]
}

{
  "formula": "TaHIrW2",
  "functional": "GGA-PBE",
  "state": "optimized geometry",
  "de_polymorph_mev_per_atom": 42,
  "energy_ev_per_cell": -49.89,
  "lattice_angstrom": [[4.047, 0.000, 0.000], [0.000, 4.047, 0.000], [0.000, 0.000, 4.081]],
  "species": ["Ta", "H", "Ir", "W", "W"],
  "fractional_positions": [[0.000, 0.000, 0.000], [0.500, 0.500, 0.500], [0.500, 0.500, 0.000], [0.000, 0.500, 0.500], [0.500, 0.000, 0.500]]
}

{
  "formula": "Ac8Co3SeBr4",
  "functional": "GGA-PBE",
  "state": "optimized geometry",
  "energy_ev_per_cell": -79.05,
  "formation_energy_uncorrected_ev_per_atom": -0.9183,
  "lattice_angstrom": [[4.353, 2.513, 8.154], [-4.353, 2.513, 8.154], [0.000, -5.027, 8.154]],
  "species": ["Ac", "Ac", "Ac", "Ac", "Ac", "Ac", "Ac", "Ac", "Co", "Co", "Co", "Se", "Br", "Br", "Br", "Br"],
  "fractional_positions": [[0.211, 0.743, 0.743], [0.230, 0.230, 0.230], [0.257, 0.257, 0.789], [0.257, 0.789, 0.257], [0.743, 0.211, 0.743], [0.743, 0.743, 0.211], [0.770, 0.770, 0.770], [0.789, 0.257, 0.257], [0.000, 0.000, 0.500], [0.000, 0.500, 0.000], [0.500, 0.000, 0.000], [0.500, 0.500, 0.500], [0.000, 0.000, 0.000], [0.000, 0.500, 0.500], [0.500, 0.000, 0.500], [0.500, 0.500, 0.000]]
}

{
  "formula": "HfNbGeC2",
  "functional": "GGA-PBE",
  "state": "optimized geometry",
  "ef_kj_per_mol_atoms": 146.9,
  "energy_ev_per_cell": -35.47,
  "lattice_angstrom": [[4.110, 0.000, 0.000], [0.000, 4.110, 0.000], [0.000, 0.000, 5.661]],
  "species": ["Hf", "Nb", "Ge", "C", "C"],
  "fractional_positions": [[0.000, 0.000, 0.000], [0.000, 0.000, 0.500], [0.500, 0.500, 0.000], [0.000, 0.500, 0.500], [0.500, 0.000, 0.500]]
}

{
  "formula": "MnCrCu2",
  "functional": "GGA-PBE",
  "state": "optimized geometry",
  "ef_kj_per_mol_atoms": 20.2,
  "energy_ev_per_cell": -26.15,
  "lattice_angstrom": [[1.255, 0.724, 8.582], [-1.255, 0.724, 8.582], [0.000, -1.449, 8.582]],
  "species": ["Mn", "Cr", "Cu", "Cu"],
  "fractional_positions": [[0.000, 0.000, 0.000], [0.747, 0.747, 0.747], [0.249, 0.249, 0.249], [0.499, 0.499, 0.499]]
}

{
  "formula": "AlAs2Os",
  "functional": "GGA-PBE",
  "state": "optimized geometry",
  "ef_kj_per_mol_atoms": 36.3,
  "energy_ev_per_cell": -22.77,
  "lattice_angstrom": [[-2.039, 2.039, 3.805], [2.039, -2.039, 3.805], [2.039, 2.039, -3.805]],
  "species": ["Al", "As", "As", "Os"],
  "fractional_positions": [[0.000, 0.000, 0.000], [0.250, 0.750, 0.500], [0.500, 0.500, 0.000], [0.750, 0.250, 0.500]]
}

{
  "formula": "TiMnHg",
  "functional": "GGA-PBE",
  "state": "optimized geometry",
  "ef_kj_per_mol_atoms": 4.2,
  "energy_ev_per_cell": -17.24,
  "lattice_angstrom": [[-1.644, 1.644, 4.642], [1.644, -1.644, 4.642], [1.644, 1.644, -4.642]],
  "species": ["Ti", "Mn", "Hg"],
  "fractional_positions": [[0.000, 0.000, 0.000], [0.364, 0.364, 0.000], [0.686, 0.686, 0.000]]
}